The following is a DFT calculation (PBE) of an optimized crystal structure of Ba2H5Rh2.

Values from the calculation:
The calculation puts the volume at 121 Å³ per cell. The calculation puts the magnetization at 0.00 μB/cell. The value obtained for the calculated total energy is -4.32 eV per atom.

Cell: 3.848 3.848 8.186 Å, 90.00 90.00 90.00°
Fractional positions:
Ba 0.000 0.000 0.000
Ba 0.000 0.000 0.500
H 0.000 0.500 0.248
H 0.000 0.500 0.752
H 0.500 0.000 0.248
H 0.500 0.000 0.752
H 0.500 0.500 0.000
Rh 0.500 0.500 0.241
Rh 0.500 0.500 0.759